(1)
# Pr3Ti5O12 PBE optimized geometry
# * raw formation energy: -3.02 eV per atom
# * symmetry: Ia-3d (230)
# * density of states at the Fermi level: 9.81 states/eV/f.u.
data_Pr3Ti5O12
_symmetry_space_group_name_H-M 'P 1'
_symmetry_Int_Tables_number 1
_cell_length_a 11.1611
_cell_length_b 11.1611
_cell_length_c 11.1611
_cell_angle_alpha 109.47
_cell_angle_beta 109.47
_cell_angle_gamma 109.47
loop_
_symmetry_equiv_pos_as_xyz
'x,y,z'
loop_
_atom_site_label
_atom_site_type_symbol
_atom_site_fract_x
_atom_site_fract_y
_atom_site_fract_z
Pr1 Pr 0.7500 0.3750 0.1250
Pr2 Pr 0.8750 0.7500 0.1250
Pr3 Pr 0.3750 0.7500 0.6250
Pr4 Pr 0.2500 0.1250 0.3750
Pr5 Pr 0.8750 0.1250 0.2500
Pr6 Pr 0.3750 0.6250 0.2500
Pr7 Pr 0.6250 0.3750 0.7500
Pr8 Pr 0.1250 0.8750 0.7500
Pr9 Pr 0.7500 0.8750 0.6250
Pr10 Pr 0.6250 0.2500 0.3750
Pr11 Pr 0.1250 0.2500 0.8750
Pr12 Pr 0.2500 0.6250 0.8750
Ti1 Ti 0.1250 0.3750 0.2500
Ti2 Ti 0.0000 0.5000 0.0000
Ti3 Ti 0.0000 0.0000 0.0000
Ti4 Ti 0.3750 0.2500 0.1250
Ti5 Ti 0.5000 0.0000 0.5000
Ti6 Ti 0.5000 0.5000 0.0000
Ti7 Ti 0.1250 0.7500 0.3750
Ti8 Ti 0.7500 0.1250 0.8750
Ti9 Ti 0.7500 0.6250 0.3750
Ti10 Ti 0.3750 0.1250 0.7500
Ti11 Ti 0.6250 0.8750 0.2500
Ti12 Ti 0.5000 0.5000 0.5000
Ti13 Ti 0.5000 0.0000 0.0000
Ti14 Ti 0.0000 0.0000 0.5000
Ti15 Ti 0.2500 0.3750 0.6250
Ti16 Ti 0.2500 0.8750 0.1250
Ti17 Ti 0.0000 0.5000 0.5000
Ti18 Ti 0.8750 0.2500 0.6250
Ti19 Ti 0.6250 0.7500 0.8750
Ti20 Ti 0.8750 0.6250 0.7500
O1 O 0.7028 0.1175 0.0200
O2 O 0.3172 0.5200 0.4025
O3 O 0.9800 0.3825 0.2972
O4 O 0.5200 0.2028 0.1175
O5 O 0.5853 0.7028 0.6828
O6 O 0.9800 0.5975 0.1828
O7 O 0.3172 0.7972 0.4147
O8 O 0.0975 0.9147 0.1175
O9 O 0.5975 0.9800 0.6828
O10 O 0.7028 0.5853 0.1828
O11 O 0.7972 0.4800 0.3825
O12 O 0.8172 0.9025 0.0200
O13 O 0.1175 0.7028 0.5200
O14 O 0.3825 0.4025 0.0853
O15 O 0.0853 0.9025 0.3825
O16 O 0.4147 0.1175 0.5975
O17 O 0.0853 0.1828 0.2028
O18 O 0.4800 0.6828 0.0975
O19 O 0.8172 0.9147 0.2972
O20 O 0.1175 0.4147 0.0975
O21 O 0.3825 0.9800 0.7972
O22 O 0.5975 0.6175 0.4147
O23 O 0.9025 0.8172 0.5200
O24 O 0.7972 0.3172 0.9147
O25 O 0.4025 0.3825 0.5853
O26 O 0.0975 0.1828 0.4800
O27 O 0.2028 0.6828 0.0853
O28 O 0.1828 0.0853 0.7028
O29 O 0.6175 0.0200 0.2028
O30 O 0.8825 0.5853 0.9025
O31 O 0.5200 0.3172 0.9025
O32 O 0.5853 0.8825 0.4025
O33 O 0.9147 0.8172 0.7972
O34 O 0.9147 0.0975 0.6175
O35 O 0.8825 0.2972 0.4800
O36 O 0.1828 0.0975 0.9800
O37 O 0.6175 0.5975 0.9147
O38 O 0.4025 0.0200 0.3172
O39 O 0.2972 0.4147 0.8172
O40 O 0.2028 0.5200 0.6175
O41 O 0.9025 0.0853 0.8825
O42 O 0.6828 0.2028 0.5853
O43 O 0.4800 0.7972 0.8825
O44 O 0.0200 0.4025 0.8172
O45 O 0.4147 0.2972 0.3172
O46 O 0.0200 0.6175 0.7028
O47 O 0.6828 0.4800 0.5975
O48 O 0.2972 0.8825 0.9800

=====

(2)
# Pr2TiO PBE optimized geometry
# * raw formation energy: -0.80 eV per atom
# * symmetry: R-3m (166)
# * density of states at the Fermi level: 3.92 states/eV/f.u.
data_Pr2TiO
_symmetry_space_group_name_H-M 'P 1'
_symmetry_Int_Tables_number 1
_cell_length_a 3.4837
_cell_length_b 3.4837
_cell_length_c 9.2163
_cell_angle_alpha 79.11
_cell_angle_beta 79.11
_cell_angle_gamma 60.00
loop_
_symmetry_equiv_pos_as_xyz
'x,y,z'
loop_
_atom_site_label
_atom_site_type_symbol
_atom_site_fract_x
_atom_site_fract_y
_atom_site_fract_z
Pr1 Pr 0.1109 0.1109 0.6672
Pr2 Pr 0.8891 0.8891 0.3328
O1 O 0.5000 0.5000 0.5000
Ti1 Ti 0.0000 0.0000 0.0000

=====

(3)
# Pr2Ti2O7 PBE optimized geometry
# * raw formation energy: -3.27 eV per atom
# * symmetry: P2_1 (4)
# * density of states at the Fermi level: 0.00 states/eV/f.u.
data_Pr2Ti2O7
_symmetry_space_group_name_H-M 'P 1'
_symmetry_Int_Tables_number 1
_cell_length_a 5.5600
_cell_length_b 7.7435
_cell_length_c 13.2923
_cell_angle_alpha 81.53
_cell_angle_beta 90.00
_cell_angle_gamma 90.00
loop_
_symmetry_equiv_pos_as_xyz
'x,y,z'
loop_
_atom_site_label
_atom_site_type_symbol
_atom_site_fract_x
_atom_site_fract_y
_atom_site_fract_z
Pr1 Pr 0.6360 0.1459 0.4288
Pr2 Pr 0.1360 0.8541 0.5712
Pr3 Pr 0.7057 0.6498 0.3815
Pr4 Pr 0.2057 0.3502 0.6185
Pr5 Pr 0.2386 0.2297 0.0882
Pr6 Pr 0.7386 0.7703 0.9118
Pr7 Pr 0.2498 0.7186 0.1215
Pr8 Pr 0.7498 0.2814 0.8785
Ti1 Ti 0.1963 0.4158 0.3260
Ti2 Ti 0.6963 0.5842 0.6740
Ti3 Ti 0.2049 0.9296 0.3203
Ti4 Ti 0.7049 0.0704 0.6797
Ti5 Ti 0.7351 0.4717 0.1233
Ti6 Ti 0.2351 0.5283 0.8767
Ti7 Ti 0.7331 0.9684 0.1206
Ti8 Ti 0.2331 0.0316 0.8794
O1 O 0.2975 0.1738 0.3062
O2 O 0.7975 0.8262 0.6938
O3 O 0.1433 0.6722 0.3062
O4 O 0.6433 0.3278 0.6938
O5 O 0.4052 0.4097 0.4407
O6 O 0.9052 0.5903 0.5593
O7 O 0.4218 0.8702 0.4279
O8 O 0.9218 0.1298 0.5721
O9 O 0.9150 0.3736 0.3880
O10 O 0.4150 0.6264 0.6120
O11 O 0.9389 0.9225 0.4053
O12 O 0.4389 0.0775 0.5947
O13 O 0.0557 0.4323 0.1812
O14 O 0.5557 0.5677 0.8188
O15 O 0.0521 0.9777 0.1830
O16 O 0.5521 0.0223 0.8170
O17 O 0.1835 0.7775 0.8899
O18 O 0.6835 0.2225 0.1101
O19 O 0.3265 0.2730 0.9073
O20 O 0.8265 0.7270 0.0927
O21 O 0.9803 0.0438 0.9797
O22 O 0.4803 0.9562 0.0203
O23 O 0.9809 0.4671 0.9777
O24 O 0.4809 0.5329 0.0223
O25 O 0.0399 0.1161 0.7723
O26 O 0.5399 0.8839 0.2277
O27 O 0.0444 0.4972 0.7693
O28 O 0.5444 0.5028 0.2307

=====

(4)
# PrTiTl2O6 PBE optimized geometry
# * raw formation energy: -1.94 eV per atom
# * symmetry: R3 (146)
# * density of states at the Fermi level: 2.91 states/eV/f.u.
data_PrTiTl2O6
_symmetry_space_group_name_H-M 'P 1'
_symmetry_Int_Tables_number 1
_cell_length_a 5.7638
_cell_length_b 5.7637
_cell_length_c 6.1179
_cell_angle_alpha 61.89
_cell_angle_beta 61.90
_cell_angle_gamma 60.01
loop_
_symmetry_equiv_pos_as_xyz
'x,y,z'
loop_
_atom_site_label
_atom_site_type_symbol
_atom_site_fract_x
_atom_site_fract_y
_atom_site_fract_z
Pr1 Pr 0.8062 0.8062 0.5814
Ti1 Ti 0.3136 0.3136 0.0592
Tl1 Tl 0.5389 0.5391 0.3829
Tl2 Tl 0.0274 0.0274 0.9177
O1 O 0.5739 0.1819 0.2401
O2 O 0.1820 0.0041 0.2401
O3 O 0.0040 0.5738 0.2401
O4 O 0.4081 0.6799 0.7847
O5 O 0.6800 0.1275 0.7845
O6 O 0.1274 0.4081 0.7846

=====

(5)
# PrTiTlO4 PBE optimized geometry
# * raw formation energy: -2.62 eV per atom
# * symmetry: P2_1/m (11)
# * density of states at the Fermi level: 0.00 states/eV/f.u.
data_PrTiTlO4
_symmetry_space_group_name_H-M 'P 1'
_symmetry_Int_Tables_number 1
_cell_length_a 6.2968
_cell_length_b 6.1263
_cell_length_c 7.6307
_cell_angle_alpha 90.00
_cell_angle_beta 104.39
_cell_angle_gamma 90.00
loop_
_symmetry_equiv_pos_as_xyz
'x,y,z'
loop_
_atom_site_label
_atom_site_type_symbol
_atom_site_fract_x
_atom_site_fract_y
_atom_site_fract_z
Pr1 Pr 0.8047 0.7500 0.4341
Pr2 Pr 0.1953 0.2500 0.5659
Ti1 Ti 0.2827 0.7500 0.3490
Ti2 Ti 0.7173 0.2500 0.6510
Tl1 Tl 0.6814 0.7500 0.8950
Tl2 Tl 0.3186 0.2500 0.1050
O1 O 0.9147 0.4772 0.6589
O2 O 0.0853 0.9772 0.3411
O3 O 0.0853 0.5228 0.3411
O4 O 0.9147 0.0228 0.6589
O5 O 0.4714 0.7500 0.2018
O6 O 0.5286 0.2500 0.7982
O7 O 0.4755 0.7500 0.5669
O8 O 0.5245 0.2500 0.4331

=====

(6)
# PrUTi2O8 PBE optimized geometry
# * raw formation energy: -3.15 eV per atom
# * symmetry: I-4 (82)
# * density of states at the Fermi level: 2.58 states/eV/f.u.
data_PrUTi2O8
_symmetry_space_group_name_H-M 'P 1'
_symmetry_Int_Tables_number 1
_cell_length_a 5.2048
_cell_length_b 5.2048
_cell_length_c 6.7358
_cell_angle_alpha 112.73
_cell_angle_beta 112.73
_cell_angle_gamma 90.00
loop_
_symmetry_equiv_pos_as_xyz
'x,y,z'
loop_
_atom_site_label
_atom_site_type_symbol
_atom_site_fract_x
_atom_site_fract_y
_atom_site_fract_z
Pr1 Pr 0.7500 0.2500 0.5000
U1 U 0.0000 0.0000 0.0000
Ti1 Ti 0.5000 0.5000 0.0000
Ti2 Ti 0.2500 0.7500 0.5000
O1 O 0.7554 0.8377 0.1524
O2 O 0.3970 0.3147 0.1524
O3 O 0.5952 0.6837 0.6782
O4 O 0.0830 0.9946 0.6782
O5 O 0.0054 0.4048 0.3218
O6 O 0.3163 0.9170 0.3218
O7 O 0.1623 0.6030 0.8476
O8 O 0.6853 0.2446 0.8476

=====

(7)
# PrUTiO6 PBE optimized geometry
# * raw formation energy: -3.22 eV per atom
# * symmetry: P-31c (163)
# * density of states at the Fermi level: 1.25 states/eV/f.u.
data_PrUTiO6
_symmetry_space_group_name_H-M 'P 1'
_symmetry_Int_Tables_number 1
_cell_length_a 5.4965
_cell_length_b 5.4965
_cell_length_c 10.0860
_cell_angle_alpha 90.00
_cell_angle_beta 90.00
_cell_angle_gamma 120.00
loop_
_symmetry_equiv_pos_as_xyz
'x,y,z'
loop_
_atom_site_label
_atom_site_type_symbol
_atom_site_fract_x
_atom_site_fract_y
_atom_site_fract_z
Pr1 Pr 0.0000 0.0000 0.0000
Pr2 Pr 0.0000 0.0000 0.5000
U1 U 0.6667 0.3333 0.2500
U2 U 0.3333 0.6667 0.7500
Ti1 Ti 0.3333 0.6667 0.2500
Ti2 Ti 0.6667 0.3333 0.7500
O1 O 0.6284 0.6496 0.1420
O2 O 0.0212 0.3716 0.1420
O3 O 0.3716 0.0212 0.6420
O4 O 0.9788 0.6284 0.8580
O5 O 0.3504 0.3716 0.3580
O6 O 0.0212 0.6496 0.3580
O7 O 0.6496 0.0212 0.8580
O8 O 0.6284 0.9788 0.3580
O9 O 0.9788 0.3504 0.6420
O10 O 0.3504 0.9788 0.1420
O11 O 0.6496 0.6284 0.6420
O12 O 0.3716 0.3504 0.8580

=====

(8)
# PrTi2ZnO6 PBE optimized geometry
# * raw formation energy: -2.73 eV per atom
# * symmetry: Pmn2_1 (31)
# * density of states at the Fermi level: 3.32 states/eV/f.u.
data_PrTi2ZnO6
_symmetry_space_group_name_H-M 'P 1'
_symmetry_Int_Tables_number 1
_cell_length_a 5.3916
_cell_length_b 5.6777
_cell_length_c 7.7383
_cell_angle_alpha 90.00
_cell_angle_beta 90.00
_cell_angle_gamma 90.00
loop_
_symmetry_equiv_pos_as_xyz
'x,y,z'
loop_
_atom_site_label
_atom_site_type_symbol
_atom_site_fract_x
_atom_site_fract_y
_atom_site_fract_z
Pr1 Pr 0.0166 0.6942 0.0000
Pr2 Pr 0.5166 0.3058 0.5000
Ti1 Ti 0.0037 0.2254 0.2493
Ti2 Ti 0.0037 0.2254 0.7507
Ti3 Ti 0.5037 0.7746 0.7493
Ti4 Ti 0.5037 0.7746 0.2507
Zn1 Zn 0.5179 0.3385 0.0000
Zn2 Zn 0.0179 0.6615 0.5000
O1 O 0.0751 0.2490 0.5000
O2 O 0.2007 0.9560 0.2070
O3 O 0.2007 0.9560 0.7930
O4 O 0.3014 0.4457 0.8026
O5 O 0.3014 0.4457 0.1974
O6 O 0.3783 0.7248 0.5000
O7 O 0.5751 0.7510 0.0000
O8 O 0.7007 0.0440 0.2930
O9 O 0.7007 0.0440 0.7070
O10 O 0.8014 0.5543 0.3026
O11 O 0.8014 0.5543 0.6974
O12 O 0.8783 0.2752 0.0000